The following is a PBE with a Hubbard U calculation of a relaxed CrHgP2O crystal, from Alexandria via LeMat-Bulk.

Summary:
energy above the lowest structure with this stoichiometry = 1.300 eV/atom

Cell lengths 4.9819, 4.9819, 4.0593 Å; angles 90.00, 90.00, 90.00 degrees
Fractional positions:
Cr 0.0000 0.0000 0.0000
Hg 0.5000 0.5000 0.5000
P 0.0000 0.5000 0.5000
P 0.5000 0.0000 0.5000
O 0.5000 0.5000 0.0000